Computed, not measured: an optimized crystal structure of Sr2TaF at the GGA-PBE level of DFT.

Unit cell a=5.592 b=5.592 c=5.592 alpha=60.00 beta=60.00 gamma=60.00
Element x y z (fractional)
Sr: 0.250 0.250 0.250
Sr: 0.750 0.750 0.750
F: 0.000 0.000 0.000
Ta: 0.500 0.500 0.500

E above lowest polymorph = 550 meV per atom
SG = No. 225
E_form (uncorrected) = 0.240 eV per atom